Entry 1:
A relaxed Pm2MgTlO6 crystal. Source: the Alexandria database, functional PBE.

```
Pm2MgTlO6
1.0
5.598 0.000 0.000
0.000 5.902 0.000
-5.565 0.000 8.292
Pm Mg Tl O
4 2 2 12
Direct
0.224 0.065 0.248
0.224 0.435 0.748
0.776 0.565 0.252
0.776 0.935 0.752
0.500 0.000 0.000
0.500 0.500 0.500
0.000 0.000 0.500
0.000 0.500 0.000
0.137 0.190 0.932
0.137 0.310 0.432
0.239 0.707 0.926
0.239 0.793 0.426
0.393 0.057 0.762
0.393 0.443 0.262
0.607 0.557 0.738
0.607 0.943 0.238
0.761 0.207 0.574
0.761 0.293 0.074
0.863 0.690 0.568
0.863 0.810 0.068
```

Output
Total DFT energy (no corrections) = -6.609 eV/atom
Formation energy without anion corrections = -2.288 eV per atom
Calculated volume = 13.7 Å³ per atom
N(E_F) = 0.6603 states/eV/atom
Crystal system = monoclinic
Spin magnetization = 0.109 μB per atom

=====

Entry 2:
A relaxed Co2HgGe crystal. Source: the Alexandria database, functional PBE.

```
Co2HgGe
1.0
6.731 0.000 0.000
0.000 6.731 0.000
0.000 0.000 5.470
Co Hg Ge
8 4 4
Direct
0.208 0.250 0.125
0.250 0.708 0.375
0.250 0.792 0.875
0.292 0.250 0.625
0.708 0.750 0.625
0.750 0.208 0.875
0.750 0.292 0.375
0.792 0.750 0.125
0.000 0.000 0.500
0.000 0.500 0.750
0.500 0.000 0.250
0.500 0.500 0.000
0.000 0.000 0.000
0.000 0.500 0.250
0.500 0.000 0.750
0.500 0.500 0.500
```

Output
Total DFT energy (no corrections) = -4.309 eV/atom
Energy of formation from the pure elements = 0.473 eV/atom
Calculated volume = 15.5 Å³ per atom
N(E_F) = 1.3679 states/eV/atom
Crystal system = tetragonal
Spin magnetization = 0.168 μB per atom

=====

Question: What is the spin magnetization in the first record?
Answer: 0.109 μB per atom

=====

Question: Among the records above, which one has the highest calculated volume?
Answer: Co2HgGe

=====

Question: Which value of calculated volume does entry 2 give?
Answer: 15.5 Å³ per atom

=====

Question: What is the formula in the first record?
Answer: Pm2MgTlO6